The following is a DFT calculation (PBE) of crystalline LiPrCdO3 at its relaxed geometry.

Cell lengths 5.131, 5.131, 9.617 Å; angles 90.00, 90.00, 38.92 degrees
Fractional positions:
Li 0.522 0.522 0.250
Li 0.478 0.478 0.750
O 0.638 0.638 0.403
O 0.080 0.080 0.750
O 0.638 0.638 0.097
O 0.362 0.362 0.903
O 0.920 0.920 0.250
O 0.362 0.362 0.597
Pr 0.000 0.000 0.000
Pr 0.000 0.000 0.500
Cd 0.755 0.755 0.750
Cd 0.245 0.245 0.250

Its space group is No. 63. Its mass density is 6.437 Mg/m³. Its magnetization is 0.00 μB/f.u. As for the calculated total energy: -5.720 eV/atom.

---

The following is a DFT calculation (PBE) of crystalline LiScCdO3 at its relaxed geometry.

Cell lengths 3.111, 6.017, 7.057 Å; angles 90.00, 77.27, 90.00 degrees
Fractional positions:
Cd 0.700 0.250 0.600
Cd 0.300 0.750 0.400
O 0.850 0.017 0.300
O 0.501 0.250 0.999
O 0.850 0.483 0.300
O 0.150 0.517 0.700
O 0.499 0.750 0.001
O 0.150 0.983 0.700
Li 0.360 0.250 0.280
Li 0.640 0.750 0.720
Sc 0.000 0.500 0.000
Sc 0.000 0.000 0.000

Its space group is No. 63. Its mass density is 5.471 Mg/m³. Its magnetization is 0.00 μB/f.u. As for the calculated total energy: -6.174 eV/atom.

---

The following is a DFT calculation (PBE) of crystalline Li2CdSiO4 at its relaxed geometry.

Cell lengths 6.556, 5.325, 5.060 Å; angles 90.00, 90.00, 90.00 degrees
Fractional positions:
O 0.202 0.171 0.394
O 0.500 0.711 0.344
O 0.000 0.289 0.844
O 0.702 0.829 0.894
O 0.000 0.617 0.445
O 0.298 0.829 0.894
O 0.798 0.171 0.394
O 0.500 0.383 0.945
Cd 0.500 0.318 0.508
Cd 0.000 0.682 0.008
Li 0.749 0.173 0.012
Li 0.751 0.827 0.512
Li 0.249 0.827 0.512
Li 0.251 0.173 0.012
Si 0.500 0.687 0.019
Si 0.000 0.313 0.519

Its space group is No. 31. Its mass density is 4.106 Mg/m³. As for the calculated total energy: -5.932 eV/atom.

---

The following is a DFT calculation (PBE) of crystalline Li2CdSiO4 at its relaxed geometry.

Cell lengths 6.505, 10.647, 5.100 Å; angles 90.00, 90.00, 90.00 degrees
Fractional positions:
O 0.047 0.412 0.790
O 0.953 0.588 0.210
O 0.047 0.912 0.710
O 0.547 0.588 0.210
O 0.250 0.856 0.158
O 0.250 0.356 0.342
O 0.750 0.144 0.842
O 0.250 0.191 0.738
O 0.453 0.912 0.710
O 0.750 0.644 0.658
O 0.453 0.412 0.790
O 0.750 0.309 0.238
O 0.250 0.691 0.762
O 0.750 0.809 0.262
O 0.953 0.088 0.290
O 0.547 0.088 0.290
Li 0.001 0.089 0.671
Li 0.999 0.911 0.329
Li 0.501 0.411 0.171
Li 0.001 0.589 0.829
Li 0.501 0.911 0.329
Li 0.999 0.411 0.171
Li 0.499 0.589 0.829
Li 0.499 0.089 0.671
Si 0.750 0.657 0.336
Si 0.750 0.157 0.164
Si 0.250 0.343 0.664
Si 0.250 0.843 0.836
Cd 0.750 0.341 0.670
Cd 0.250 0.159 0.170
Cd 0.250 0.659 0.330
Cd 0.750 0.841 0.830

Its space group is No. 62. Its mass density is 4.107 Mg/m³. As for the calculated total energy: -5.930 eV/atom.

---

The following is a DFT calculation (PBE) of crystalline LiSmCdO3 at its relaxed geometry.

Cell lengths 7.824, 8.276, 8.276 Å; angles 156.76, 90.00, 90.00 degrees
Fractional positions:
O 0.157 0.113 0.887
O 0.343 0.113 0.887
O 0.250 0.795 0.205
O 0.750 0.205 0.795
O 0.657 0.887 0.113
O 0.843 0.887 0.113
Li 0.250 0.222 0.778
Li 0.750 0.778 0.222
Sm 0.500 0.000 0.000
Sm 0.000 0.000 0.000
Cd 0.750 0.621 0.379
Cd 0.250 0.379 0.621

Its space group is No. 63. Its mass density is 4.991 Mg/m³. Its magnetization is 0.00 μB/f.u. As for the calculated total energy: -4.690 eV/atom.

---

The following is a DFT calculation (PBE) of crystalline LiYCdO3 at its relaxed geometry.

Cell lengths 5.097, 5.097, 9.125 Å; angles 90.00, 90.00, 38.11 degrees
Fractional positions:
Y 0.000 0.000 0.500
Y 0.000 0.000 0.000
Li 0.519 0.519 0.750
Li 0.481 0.481 0.250
O 0.632 0.632 0.912
O 0.632 0.632 0.588
O 0.081 0.081 0.250
O 0.368 0.368 0.088
O 0.368 0.368 0.412
O 0.919 0.919 0.750
Cd 0.245 0.245 0.750
Cd 0.755 0.755 0.250

Its space group is No. 63. Its mass density is 5.817 Mg/m³. Its magnetization is 0.00 μB/f.u. As for the calculated total energy: -6.120 eV/atom.

---

The following is a DFT calculation (PBE) of crystalline LiCdOs at its relaxed geometry.

Cell lengths 4.123, 4.123, 4.123 Å; angles 60.00, 60.00, 60.00 degrees
Fractional positions:
Os 0.750 0.750 0.750
Cd 0.250 0.250 0.250
Li 0.000 0.000 0.000

Its space group is No. 216. Its mass density is 10.375 Mg/m³. As for the energy relative to the lowest polymorph listed for this composition: 0 meV/atom. Its magnetization is 1.28 μB/f.u.

---

The following is a DFT calculation (PBE) of crystalline Li2CdOsS4 at its relaxed geometry.

Cell lengths 7.986, 6.804, 6.442 Å; angles 90.00, 90.00, 90.00 degrees
Fractional positions:
S 0.273 0.166 0.185
S 0.773 0.834 0.685
S 0.727 0.166 0.185
S 0.500 0.308 0.651
S 0.000 0.692 0.151
S 0.227 0.834 0.685
S 0.500 0.638 0.211
S 0.000 0.362 0.711
Cd 0.000 0.341 0.308
Cd 0.500 0.659 0.808
Li 0.748 0.826 0.306
Li 0.252 0.826 0.306
Li 0.752 0.174 0.806
Li 0.248 0.174 0.806
Os 0.500 0.321 0.304
Os 0.000 0.679 0.804

Its space group is No. 31. Its mass density is 4.220 Mg/m³. Its magnetization is 0.00 μB/f.u. As for the calculated total energy: -4.583 eV/atom.

---

The following is a DFT calculation (PBE) of crystalline LiCdP at its relaxed geometry.

Cell lengths 6.737, 4.147, 7.774 Å; angles 90.00, 90.00, 90.00 degrees
Fractional positions:
Cd 0.351 0.250 0.575
Cd 0.149 0.750 0.075
Cd 0.649 0.750 0.425
Cd 0.851 0.250 0.925
P 0.743 0.750 0.105
P 0.243 0.750 0.395
P 0.257 0.250 0.895
P 0.757 0.250 0.605
Li 0.513 0.750 0.845
Li 0.987 0.250 0.345
Li 0.013 0.750 0.655
Li 0.487 0.250 0.155

Its space group is No. 62. Its mass density is 4.597 Mg/m³. As for the calculated total energy: -3.097 eV/atom.

---

The following is a DFT calculation (PBE) of crystalline LiCdP at its relaxed geometry.

Cell lengths 6.678, 6.678, 3.873 Å; angles 90.00, 90.00, 120.00 degrees
Fractional positions:
Cd 0.603 0.000 0.500
Cd 0.000 0.603 0.500
Cd 0.397 0.397 0.500
Li 0.000 0.247 0.000
Li 0.753 0.753 0.000
Li 0.247 0.000 0.000
P 0.000 0.000 0.500
P 0.667 0.333 0.000
P 0.333 0.667 0.000

Its space group is No. 189. Its mass density is 5.007 Mg/m³. As for the calculated total energy: -3.054 eV/atom.

---

The following is a DFT calculation (PBE) of crystalline LiCdP at its relaxed geometry.

Cell lengths 4.373, 4.373, 6.709 Å; angles 90.00, 90.00, 120.00 degrees
Fractional positions:
Cd 0.667 0.333 0.750
Cd 0.333 0.667 0.250
P 0.667 0.333 0.250
P 0.333 0.667 0.750
Li 0.000 0.000 0.000
Li 0.000 0.000 0.500

Its space group is No. 194. Its mass density is 4.494 Mg/m³. As for the calculated total energy: -3.008 eV/atom.

---

The following is a DFT calculation (PBE) of crystalline LiCdP at its relaxed geometry.

Cell lengths 4.238, 4.238, 7.126 Å; angles 90.00, 90.00, 120.00 degrees
Fractional positions:
Li 0.000 0.000 0.297
Li 0.000 0.000 0.797
Cd 0.333 0.667 0.044
Cd 0.667 0.333 0.544
P 0.667 0.333 0.910
P 0.333 0.667 0.410

Its space group is No. 186. Its mass density is 4.505 Mg/m³. As for the calculated total energy: -3.138 eV/atom.